Record 1
# HfZnSn2Mo PBE-GGA optimized geometry
data_HfZnSn2Mo
_space_group_name_H-M_alt 'P 4/m m m'
_space_group_IT_number 123
_space_group_name_Hall '-P 4 2'
_cell_length_a 5.534
_cell_length_b 5.534
_cell_length_c 4.989
_cell_angle_alpha 90.00
_cell_angle_beta 90.00
_cell_angle_gamma 90.00
loop_
_atom_site_label
_atom_site_type_symbol
_atom_site_fract_x
_atom_site_fract_y
_atom_site_fract_z
Hf1 Hf 0.000 0.000 0.000
Zn1 Zn 0.500 0.500 0.500
Sn1 Sn 0.000 0.500 0.000
Mo1 Mo 0.000 0.000 0.500
# **V**: 153 Å³/cell
# **Density**: 6274 kg/m3
# **Raw total energy**: -4.88 eV/atom
# **N(E_F)**: 0.90 states/eV/atom

Record 2
# SrHfMo3 PBE-GGA optimized geometry
data_SrHfMo3
_space_group_name_H-M_alt 'P m -3 m'
_space_group_IT_number 221
_space_group_name_Hall '-P 4 2 3'
_cell_length_a 4.956
_cell_length_b 4.956
_cell_length_c 4.956
_cell_angle_alpha 90.00
_cell_angle_beta 90.00
_cell_angle_gamma 90.00
loop_
_atom_site_label
_atom_site_type_symbol
_atom_site_fract_x
_atom_site_fract_y
_atom_site_fract_z
Sr1 Sr 0.000 0.000 0.000
Hf1 Hf 0.500 0.500 0.500
Mo1 Mo 0.000 0.500 0.500
# **V**: 122 Å³/cell
# **Density**: 7554 kg/m3
# **N(E_F)**: 1.43 states/eV/atom
# **ΔE to the lowest computed polymorph**: 0.00 eV per formula unit

Record 3
# Sr2HfMo PBE-GGA optimized geometry
data_Sr2HfMo
_space_group_name_H-M_alt 'F m -3 m'
_space_group_IT_number 225
_space_group_name_Hall '-F 4 2 3'
_cell_length_a 7.798
_cell_length_b 7.798
_cell_length_c 7.798
_cell_angle_alpha 90.00
_cell_angle_beta 90.00
_cell_angle_gamma 90.00
loop_
_atom_site_label
_atom_site_type_symbol
_atom_site_fract_x
_atom_site_fract_y
_atom_site_fract_z
Sr1 Sr 0.250 0.250 0.250
Hf1 Hf 0.000 0.000 0.000
Mo1 Mo 0.000 0.000 0.500
# **V**: 474 Å³/cell
# **Density**: 6299 kg/m3
# **N(E_F)**: 1.94 states/eV/atom
# **ΔE to the lowest computed polymorph**: 0.85 eV per formula unit